Entry 1:
# Sm5SnPd2, relaxed, DFT GGA-PBE
data_Sm5SnPd2
_cell_length_a 8.022
_cell_length_b 8.022
_cell_length_c 13.647
_cell_angle_alpha 90.00
_cell_angle_beta 90.00
_cell_angle_gamma 90.00
_symmetry_space_group_name_H-M 'I 4/m c m'
_symmetry_Int_Tables_number 140
_symmetry_space_group_name_Hall '-I 4 2c'
loop_
_atom_site_label
_atom_site_type_symbol
_atom_site_fract_x
_atom_site_fract_y
_atom_site_fract_z
Sm1 Sm 0.000 0.000 0.000
Sm2 Sm 0.158 0.342 0.142
Sn1 Sn 0.000 0.000 0.250
Pd1 Pd 0.133 0.367 0.500
# energy of formation from the pure elements = -642 meV/atom

***

Entry 2:
# SmSn2Pd9, relaxed, DFT GGA-PBE
data_SmSn2Pd9
_cell_length_a 4.102
_cell_length_b 4.102
_cell_length_c 12.159
_cell_angle_alpha 90.00
_cell_angle_beta 90.00
_cell_angle_gamma 90.00
_symmetry_space_group_name_H-M 'P 4/m m m'
_symmetry_Int_Tables_number 123
_symmetry_space_group_name_Hall '-P 4 2'
loop_
_atom_site_label
_atom_site_type_symbol
_atom_site_fract_x
_atom_site_fract_y
_atom_site_fract_z
Sm1 Sm 0.000 0.000 0.000
Sn1 Sn 0.000 0.000 0.336
Pd1 Pd 0.000 0.500 0.176
Pd2 Pd 0.000 0.500 0.500
Pd3 Pd 0.500 0.500 0.000
Pd4 Pd 0.500 0.500 0.338
# energy of formation from the pure elements = -603 meV/atom

***

Entry 3:
# SmSnPd2, relaxed, DFT GGA-PBE
data_SmSnPd2
_cell_length_a 4.735
_cell_length_b 6.804
_cell_length_c 5.174
_cell_angle_alpha 90.00
_cell_angle_beta 90.00
_cell_angle_gamma 90.00
_symmetry_space_group_name_H-M 'P m m n'
_symmetry_Int_Tables_number 59
loop_
_symmetry_equiv_pos_as_xyz
'x,y,z'
'-x,-y,-z'
'-x+1/2,-y+1/2,z'
'x+1/2,y+1/2,-z'
'x+1/2,-y,-z'
'-x+1/2,y,z'
'-x,y+1/2,-z'
'x,-y+1/2,z'
loop_
_atom_site_label
_atom_site_type_symbol
_atom_site_fract_x
_atom_site_fract_y
_atom_site_fract_z
Sm1 Sm 0.250 0.250 0.198
Sn1 Sn 0.250 0.750 0.266
Pd1 Pd 0.250 0.027 0.682
# energy of formation from the pure elements = -824 meV/atom

***

Entry 4:
# Sm2Sn5Pd3, relaxed, DFT GGA-PBE
data_Sm2Sn5Pd3
_cell_length_a 4.578
_cell_length_b 26.718
_cell_length_c 7.430
_cell_angle_alpha 90.00
_cell_angle_beta 90.00
_cell_angle_gamma 90.00
_symmetry_space_group_name_H-M 'C m c 21'
_symmetry_Int_Tables_number 36
_symmetry_space_group_name_Hall 'C 2c -2'
loop_
_atom_site_label
_atom_site_type_symbol
_atom_site_fract_x
_atom_site_fract_y
_atom_site_fract_z
Sm1 Sm 0.000 0.023 0.000
Sm2 Sm 0.000 0.327 0.013
Sn1 Sn 0.000 0.097 0.367
Sn2 Sn 0.000 0.204 0.814
Sn3 Sn 0.000 0.211 0.237
Sn4 Sn 0.000 0.381 0.494
Sn5 Sn 0.000 0.452 0.164
Pd1 Pd 0.000 0.105 0.739
Pd2 Pd 0.000 0.278 0.534
Pd3 Pd 0.000 0.450 0.781
# excess energy over the best structure of this formula in the dataset = 0.000 eV per atom
# energy of formation from the pure elements = -703 meV/atom

***

Entry 5:
# SmSn3Pd, relaxed, DFT GGA-PBE
data_SmSn3Pd
_cell_length_a 4.597
_cell_length_b 24.759
_cell_length_c 4.489
_cell_angle_alpha 90.00
_cell_angle_beta 90.00
_cell_angle_gamma 90.00
_symmetry_space_group_name_H-M 'C m m m'
_symmetry_Int_Tables_number 65
_symmetry_space_group_name_Hall '-C 2 2'
loop_
_atom_site_label
_atom_site_type_symbol
_atom_site_fract_x
_atom_site_fract_y
_atom_site_fract_z
Sm1 Sm 0.000 0.168 0.000
Sn1 Sn 0.000 0.058 0.500
Sn2 Sn 0.000 0.282 0.500
Sn3 Sn 0.000 0.442 0.000
Pd1 Pd 0.000 0.386 0.500
# excess energy over the best structure of this formula in the dataset = 0.000 eV per atom
# energy of formation from the pure elements = -561 meV/atom

***

Entry 6:
# Sm6Sn3Pd, relaxed, DFT GGA-PBE
data_Sm6Sn3Pd
_cell_length_a 6.230
_cell_length_b 8.871
_cell_length_c 12.524
_cell_angle_alpha 90.00
_cell_angle_beta 118.61
_cell_angle_gamma 90.00
_symmetry_space_group_name_H-M 'P 1 21/c 1'
_symmetry_Int_Tables_number 14
_symmetry_space_group_name_Hall '-P 2ybc'
loop_
_atom_site_label
_atom_site_type_symbol
_atom_site_fract_x
_atom_site_fract_y
_atom_site_fract_z
Sm1 Sm 0.048 0.165 0.437
Sm2 Sm 0.341 0.684 0.438
Sm3 Sm 0.392 0.044 0.262
Sn1 Sn 0.000 0.000 0.000
Sn2 Sn 0.162 0.118 0.757
Pd1 Pd 0.500 0.000 0.500
# energy of formation from the pure elements = -549 meV/atom

***

Entry 7:
# Sm2Sn2Pd15, relaxed, DFT GGA-PBE
data_Sm2Sn2Pd15
_cell_length_a 9.2432
_cell_length_b 9.2432
_cell_length_c 13.8676
_cell_angle_alpha 90.00
_cell_angle_beta 90.00
_cell_angle_gamma 120.00
_symmetry_space_group_name_H-M 'R -3 m'
_symmetry_Int_Tables_number 166
_symmetry_space_group_name_Hall '-R 3 2"'
loop_
_atom_site_label
_atom_site_type_symbol
_atom_site_fract_x
_atom_site_fract_y
_atom_site_fract_z
Sm1 Sm 0.0000 0.0000 0.1459
Sn1 Sn 0.0000 0.0000 0.3934
Pd1 Pd 0.0000 0.3098 0.5000
Pd2 Pd 0.0000 0.5000 0.0000
Pd3 Pd 0.0053 0.5026 0.6547
# energy of formation from the pure elements = -404 meV/atom

***

Entry 8:
# SmSn3Pd3, relaxed, DFT GGA-PBE
data_SmSn3Pd3
_cell_length_a 7.245
_cell_length_b 7.245
_cell_length_c 7.245
_cell_angle_alpha 90.00
_cell_angle_beta 90.00
_cell_angle_gamma 90.00
_symmetry_space_group_name_H-M 'P m -3 n'
_symmetry_Int_Tables_number 223
_symmetry_space_group_name_Hall '-P 4n 2 3'
loop_
_atom_site_label
_atom_site_type_symbol
_atom_site_fract_x
_atom_site_fract_y
_atom_site_fract_z
Sm1 Sm 0.000 0.000 0.000
Sn1 Sn 0.000 0.250 0.500
Pd1 Pd 0.000 0.500 0.250
# excess energy over the best structure of this formula in the dataset = 0.389 eV per atom
# energy of formation from the pure elements = -159 meV/atom

***

Entry 9:
# SmSnPd4, relaxed, DFT GGA-PBE
data_SmSnPd4
_cell_length_a 9.693
_cell_length_b 3.631
_cell_length_c 6.764
_cell_angle_alpha 90.00
_cell_angle_beta 110.96
_cell_angle_gamma 90.00
_symmetry_space_group_name_H-M 'C 1 2/m 1'
_symmetry_Int_Tables_number 12
_symmetry_space_group_name_Hall '-C 2y'
loop_
_atom_site_label
_atom_site_type_symbol
_atom_site_fract_x
_atom_site_fract_y
_atom_site_fract_z
Sm1 Sm 0.000 0.000 0.000
Sn1 Sn 0.000 0.000 0.500
Pd1 Pd 0.158 0.500 0.349
Pd2 Pd 0.171 0.500 0.816
# excess energy over the best structure of this formula in the dataset = 0.000 eV per atom
# energy of formation from the pure elements = -633 meV/atom

***

Entry 10:
# SmSn2Pd4, relaxed, DFT GGA-PBE
data_SmSn2Pd4
_cell_length_a 4.5482
_cell_length_b 4.5482
_cell_length_c 24.2625
_cell_angle_alpha 90.00
_cell_angle_beta 90.00
_cell_angle_gamma 120.00
_symmetry_space_group_name_H-M 'R -3 m'
_symmetry_Int_Tables_number 166
_symmetry_space_group_name_Hall '-R 3 2"'
loop_
_atom_site_label
_atom_site_type_symbol
_atom_site_fract_x
_atom_site_fract_y
_atom_site_fract_z
Sm1 Sm 0.0000 0.0000 0.0000
Sn1 Sn 0.0000 0.0000 0.2416
Pd1 Pd 0.0000 0.0000 0.1308
Pd2 Pd 0.0000 0.0000 0.4073
# excess energy over the best structure of this formula in the dataset = 0.029 eV per atom
# energy of formation from the pure elements = -608 meV/atom

***

Entry 11:
# SmSn4Pd15, relaxed, DFT GGA-PBE
data_SmSn4Pd15
_cell_length_a 4.076
_cell_length_b 4.076
_cell_length_c 20.269
_cell_angle_alpha 90.00
_cell_angle_beta 90.00
_cell_angle_gamma 90.00
_symmetry_space_group_name_H-M 'P 4/m m m'
_symmetry_Int_Tables_number 123
_symmetry_space_group_name_Hall '-P 4 2'
loop_
_atom_site_label
_atom_site_type_symbol
_atom_site_fract_x
_atom_site_fract_y
_atom_site_fract_z
Sm1 Sm 0.000 0.000 0.000
Sn1 Sn 0.000 0.000 0.204
Sn2 Sn 0.000 0.000 0.401
Pd1 Pd 0.000 0.500 0.106
Pd2 Pd 0.000 0.500 0.302
Pd3 Pd 0.000 0.500 0.500
Pd4 Pd 0.500 0.500 0.000
Pd5 Pd 0.500 0.500 0.204
Pd6 Pd 0.500 0.500 0.401
# energy of formation from the pure elements = -564 meV/atom

***

Entry 12:
# Sm2Sn2Pd, relaxed, DFT GGA-PBE
data_Sm2Sn2Pd
_cell_length_a 6.699
_cell_length_b 13.093
_cell_length_c 6.429
_cell_angle_alpha 90.00
_cell_angle_beta 90.00
_cell_angle_gamma 90.00
_symmetry_space_group_name_H-M 'I b a m'
_symmetry_Int_Tables_number 72
_symmetry_space_group_name_Hall '-I 2 2c'
loop_
_atom_site_label
_atom_site_type_symbol
_atom_site_fract_x
_atom_site_fract_y
_atom_site_fract_z
Sm1 Sm 0.205 0.130 0.000
Sn1 Sn 0.225 0.375 0.000
Pd1 Pd 0.000 0.500 0.250
# excess energy over the best structure of this formula in the dataset = 0.170 eV per atom
# energy of formation from the pure elements = -671 meV/atom

***

Entry 13:
# SmSnPd2, relaxed, DFT GGA-PBE
data_SmSnPd2
_cell_length_a 7.628
_cell_length_b 7.242
_cell_length_c 6.220
_cell_angle_alpha 90.00
_cell_angle_beta 90.00
_cell_angle_gamma 90.00
_symmetry_space_group_name_H-M 'P n m a'
_symmetry_Int_Tables_number 62
_symmetry_space_group_name_Hall '-P 2ac 2n'
loop_
_atom_site_label
_atom_site_type_symbol
_atom_site_fract_x
_atom_site_fract_y
_atom_site_fract_z
Sm1 Sm 0.030 0.250 0.170
Sn1 Sn 0.115 0.750 0.331
Pd1 Pd 0.187 0.050 0.566
# energy of formation from the pure elements = -829 meV/atom

***

Entry 14:
# SmSnPd4, relaxed, DFT GGA-PBE
data_SmSnPd4
_cell_length_a 7.670
_cell_length_b 7.670
_cell_length_c 7.670
_cell_angle_alpha 90.00
_cell_angle_beta 90.00
_cell_angle_gamma 90.00
_symmetry_space_group_name_H-M 'F -4 3 m'
_symmetry_Int_Tables_number 216
_symmetry_space_group_name_Hall 'F -4 2 3'
loop_
_atom_site_label
_atom_site_type_symbol
_atom_site_fract_x
_atom_site_fract_y
_atom_site_fract_z
Sm1 Sm 0.000 0.000 0.000
Sn1 Sn 0.250 0.250 0.250
Pd1 Pd 0.125 0.125 0.625
# excess energy over the best structure of this formula in the dataset = 0.021 eV per atom
# energy of formation from the pure elements = -612 meV/atom

***

Entry 15:
# SmSn2Pd, relaxed, DFT GGA-PBE
data_SmSn2Pd
_cell_length_a 4.492
_cell_length_b 4.492
_cell_length_c 9.544
_cell_angle_alpha 90.00
_cell_angle_beta 90.00
_cell_angle_gamma 90.00
_symmetry_space_group_name_H-M 'P 4/n m m'
_symmetry_Int_Tables_number 129
loop_
_symmetry_equiv_pos_as_xyz
'x,y,z'
'-x,-y,-z'
'-y+1/2,x,z'
'y+1/2,-x,-z'
'-x+1/2,-y+1/2,z'
'x+1/2,y+1/2,-z'
'y,-x+1/2,z'
'-y,x+1/2,-z'
'x+1/2,-y,-z'
'-x+1/2,y,z'
'-y,-x,-z'
'y,x,z'
'-x,y+1/2,-z'
'x,-y+1/2,z'
'y+1/2,x+1/2,-z'
'-y+1/2,-x+1/2,z'
loop_
_atom_site_label
_atom_site_type_symbol
_atom_site_fract_x
_atom_site_fract_y
_atom_site_fract_z
Sm1 Sm 0.250 0.250 0.232
Sn1 Sn 0.250 0.250 0.828
Sn2 Sn 0.250 0.750 0.500
Pd1 Pd 0.250 0.750 0.000
# energy of formation from the pure elements = -681 meV/atom

***

Entry 16:
# Sm6SnPd2, relaxed, DFT GGA-PBE
data_Sm6SnPd2
_cell_length_a 9.563
_cell_length_b 10.095
_cell_length_c 10.685
_cell_angle_alpha 90.00
_cell_angle_beta 90.00
_cell_angle_gamma 90.00
_symmetry_space_group_name_H-M 'I m m m'
_symmetry_Int_Tables_number 71
_symmetry_space_group_name_Hall '-I 2 2'
loop_
_atom_site_label
_atom_site_type_symbol
_atom_site_fract_x
_atom_site_fract_y
_atom_site_fract_z
Sm1 Sm 0.000 0.199 0.235
Sm2 Sm 0.198 0.500 0.174
Sm3 Sm 0.211 0.317 0.500
Sn1 Sn 0.000 0.000 0.000
Sn2 Sn 0.000 0.000 0.500
Pd1 Pd 0.000 0.349 0.000
Pd2 Pd 0.000 0.500 0.370
# energy of formation from the pure elements = -542 meV/atom

***

Entry 17:
# SmSnPd3, relaxed, DFT GGA-PBE
data_SmSnPd3
_cell_length_a 5.774
_cell_length_b 10.719
_cell_length_c 7.304
_cell_angle_alpha 90.00
_cell_angle_beta 90.00
_cell_angle_gamma 90.00
_symmetry_space_group_name_H-M 'I m m a'
_symmetry_Int_Tables_number 74
_symmetry_space_group_name_Hall '-I 2b 2'
loop_
_atom_site_label
_atom_site_type_symbol
_atom_site_fract_x
_atom_site_fract_y
_atom_site_fract_z
Sm1 Sm 0.000 0.250 0.066
Sn1 Sn 0.000 0.000 0.500
Pd1 Pd 0.000 0.250 0.476
Pd2 Pd 0.250 0.116 0.750
# energy of formation from the pure elements = -562 meV/atom

***

Entry 18:
# SmSn2Pd4, relaxed, DFT GGA-PBE
data_SmSn2Pd4
_cell_length_a 8.059
_cell_length_b 8.059
_cell_length_c 4.274
_cell_angle_alpha 90.00
_cell_angle_beta 90.00
_cell_angle_gamma 90.00
_symmetry_space_group_name_H-M 'P 42/m n m'
_symmetry_Int_Tables_number 136
_symmetry_space_group_name_Hall '-P 4n 2n'
loop_
_atom_site_label
_atom_site_type_symbol
_atom_site_fract_x
_atom_site_fract_y
_atom_site_fract_z
Sm1 Sm 0.000 0.000 0.000
Sn1 Sn 0.216 0.216 0.500
Pd1 Pd 0.092 0.652 0.500
# excess energy over the best structure of this formula in the dataset = 0.000 eV per atom
# energy of formation from the pure elements = -637 meV/atom

***

Entry 19:
# SmSn2Pd3, relaxed, DFT GGA-PBE
data_SmSn2Pd3
_cell_length_a 17.866
_cell_length_b 4.321
_cell_length_c 10.309
_cell_angle_alpha 90.00
_cell_angle_beta 109.00
_cell_angle_gamma 90.00
_symmetry_space_group_name_H-M 'C 1 2/m 1'
_symmetry_Int_Tables_number 12
_symmetry_space_group_name_Hall '-C 2y'
loop_
_atom_site_label
_atom_site_type_symbol
_atom_site_fract_x
_atom_site_fract_y
_atom_site_fract_z
Sm1 Sm 0.000 0.000 0.000
Sm2 Sm 0.156 0.000 0.705
Sn1 Sn 0.040 0.500 0.786
Sn2 Sn 0.138 0.500 0.457
Sn3 Sn 0.195 0.000 0.130
Pd1 Pd 0.000 0.500 0.500
Pd2 Pd 0.041 0.000 0.336
Pd3 Pd 0.113 0.500 0.185
Pd4 Pd 0.185 0.500 0.967
Pd5 Pd 0.213 0.000 0.395
# energy of formation from the pure elements = -714 meV/atom

***

Entry 20:
# SmSn2Pd, relaxed, DFT GGA-PBE
data_SmSn2Pd
_cell_length_a 4.537
_cell_length_b 4.537
_cell_length_c 4.497
_cell_angle_alpha 90.00
_cell_angle_beta 90.00
_cell_angle_gamma 90.00
_symmetry_space_group_name_H-M 'P 4/m m m'
_symmetry_Int_Tables_number 123
_symmetry_space_group_name_Hall '-P 4 2'
loop_
_atom_site_label
_atom_site_type_symbol
_atom_site_fract_x
_atom_site_fract_y
_atom_site_fract_z
Sm1 Sm 0.000 0.000 0.000
Sn1 Sn 0.000 0.500 0.500
Pd1 Pd 0.500 0.500 0.000
# energy of formation from the pure elements = -604 meV/atom